{
  "formula": "Y2Pt",
  "functional": "GGA-PBE",
  "state": "relaxed",
  "total_magnetization_mub_per_fu": 0.00,
  "formation_energy_ev_per_atom": -0.706,
  "dos_at_fermi_per_ev_atom": 0.937,
  "density_g_cm3": 7.6,
  "lattice": [[-1.750, 1.750, 13.320], [1.750, -1.750, 13.320], [1.750, 1.750, -13.320]],
  "species": ["Y", "Y", "Y", "Y", "Pt", "Pt"],
  "frac_coords": [[0.563, 0.563, 0.000], [0.437, 0.437, 0.000], [0.313, 0.813, 0.500], [0.187, 0.687, 0.500], [0.750, 0.250, 0.500], [0.000, 0.000, 0.000]]
}

{
  "formula": "Y2Pt",
  "functional": "GGA-PBE",
  "state": "relaxed",
  "total_magnetization_mub_per_fu": 0.00,
  "formation_energy_ev_per_atom": -0.889,
  "dos_at_fermi_per_ev_atom": 1.111,
  "density_g_cm3": 7.8,
  "lattice": [[-3.620, -0.821, -0.640], [3.470, -5.103, -1.996], [-0.471, -2.735, 6.175]],
  "species": ["Pt", "Pt", "Y", "Y", "Y", "Y"],
  "frac_coords": [[0.979, 0.958, 0.070], [0.743, 0.487, 0.570], [0.382, 0.764, 0.793], [0.074, 0.148, 0.470], [0.340, 0.681, 0.293], [0.648, 0.297, 0.970]]
}

{
  "formula": "Y5Pt3",
  "functional": "GGA-PBE",
  "state": "relaxed",
  "total_magnetization_mub_per_fu": 0.00,
  "formation_energy_ev_per_atom": -1.024,
  "dos_at_fermi_per_ev_atom": 1.069,
  "density_g_cm3": 8.6,
  "lattice": [[6.505, 0.000, 0.000], [0.000, 11.061, 0.000], [0.000, 0.000, 11.061]],
  "species": ["Y", "Y", "Y", "Y", "Y", "Y", "Y", "Y", "Y", "Y", "Y", "Y", "Y", "Y", "Y", "Y", "Y", "Y", "Y", "Y", "Pt", "Pt", "Pt", "Pt", "Pt", "Pt", "Pt", "Pt", "Pt", "Pt", "Pt", "Pt"],
  "frac_coords": [[0.378, 0.293, 0.089], [0.878, 0.293, 0.911], [0.878, 0.707, 0.089], [0.378, 0.707, 0.911], [0.878, 0.589, 0.793], [0.378, 0.589, 0.207], [0.378, 0.411, 0.793], [0.878, 0.411, 0.207], [0.622, 0.207, 0.411], [0.122, 0.207, 0.589], [0.122, 0.793, 0.411], [0.622, 0.793, 0.589], [0.122, 0.911, 0.707], [0.622, 0.911, 0.293], [0.622, 0.089, 0.707], [0.122, 0.089, 0.293], [0.500, 0.000, 0.000], [0.000, 0.000, 0.000], [0.000, 0.500, 0.500], [0.500, 0.500, 0.500], [0.250, 0.846, 0.154], [0.750, 0.846, 0.846], [0.750, 0.154, 0.154], [0.250, 0.154, 0.846], [0.750, 0.654, 0.346], [0.250, 0.654, 0.654], [0.250, 0.346, 0.346], [0.750, 0.346, 0.654], [0.119, 0.500, 0.000], [0.619, 0.500, 0.000], [0.881, 0.000, 0.500], [0.381, 0.000, 0.500]]
}